Model A:
Material: Pr2Sc2CIBr4
Method: DFT, PBE
State: optimized geometry

POSCAR file:
```
Pr2Sc2CIBr4
1.0
9.099 -1.921 0.000
9.099 1.921 0.000
-2.045 0.000 8.778
Pr Sc C I Br
2 2 1 1 4
direct
0.000 0.000 0.196
0.000 0.000 0.804
0.373 0.373 0.940
0.627 0.627 0.060
0.500 0.500 0.000
0.500 0.500 0.500
0.169 0.169 0.283
0.170 0.170 0.873
0.830 0.830 0.127
0.831 0.831 0.717
```

Properties
SG: No. 12
Total magnetic moment in Bohr magnetons per cell: 0.0

---

Model B:
Material: Pr2Sc2CIBr4
Method: DFT, PBE
State: optimized geometry

POSCAR file:
```
Pr2Sc2CIBr4
1.0
8.895 -1.912 0.000
8.895 1.912 0.000
-2.007 0.000 7.985
Pr Sc C I Br
2 2 1 1 4
direct
0.145 0.145 0.076
0.855 0.855 0.924
0.500 0.500 0.182
0.500 0.500 0.818
0.000 0.000 0.000
0.000 0.000 0.500
0.338 0.338 0.193
0.344 0.344 0.647
0.656 0.656 0.353
0.662 0.662 0.807
```

Properties
SG: No. 12
Total magnetic moment in Bohr magnetons per cell: 0.2

---

It comes down to model A, which is 40 meV per atom more stable than the next structure.